# CeScAl2, optimized geometry, DFT PBE
# Formation enthalpy at 0 K, eV per formula unit: -0.6
data_CeScAl2
_cell_length_a 3.173
_cell_length_b 3.173
_cell_length_c 10.170
_cell_angle_alpha 81.03
_cell_angle_beta 81.03
_cell_angle_gamma 60.00
_symmetry_space_group_name_H-M 'P 1'
_symmetry_Int_Tables_number 1
loop_
_symmetry_equiv_pos_as_xyz
'x,y,z'
loop_
_atom_site_label
_atom_site_type_symbol
_atom_site_fract_x
_atom_site_fract_y
_atom_site_fract_z
Sc1 Sc 0.000 0.000 0.000
Al1 Al 0.745 0.745 0.766
Al2 Al 0.255 0.255 0.234
Ce1 Ce 0.500 0.500 0.500